DFT (GGA-PBE) results for a relaxed Pm3Ho2Sn6 crystal.

Computed properties:
**V**: 371 Å³ per cell
**Fermi-level density of states**: 7.1 states/eV/f.u.
**Energy of formation from the pure elements**: -0.24 eV/atom

Geometry as POSCAR:
```
Pm3Ho2Sn6
1.0
5.7884 0.0000 0.0000
0.0000 5.7884 0.0000
-2.8942 -2.8942 11.0654
Sn Pm Ho
6 3 2
Cartesian
0.0000 2.8942 1.6452
0.0000 0.0000 6.4983
2.8942 0.0000 1.6452
2.8942 2.8942 4.5670
0.0000 2.8942 9.4202
2.8942 0.0000 9.4202
0.0000 0.0000 0.0000
2.8942 2.8942 7.6739
0.0000 0.0000 3.3915
0.0000 0.0000 9.4198
2.8942 2.8942 1.6455
```

DFT (GGA-PBE) results for a relaxed Pm5HoSn6 crystal.

Computed properties:
**V**: 354 Å³ per cell
**Fermi-level density of states**: 7.8 states/eV/f.u.
**Energy of formation from the pure elements**: -0.64 eV/atom

Geometry as POSCAR:
```
Pm5HoSn6
1.0
9.3390 -0.1113 0.0000
2.6046 5.2315 0.0000
1.3023 2.6158 7.2007
Sn Pm Ho
6 5 1
Cartesian
5.5700 6.5660 4.8322
8.9782 3.7857 4.8322
7.6759 1.1700 2.3685
8.9888 3.9724 0.0000
4.2677 3.9502 2.3685
2.9549 1.1478 0.0000
5.9718 2.5601 0.0000
2.6046 5.2315 4.8519
5.9718 2.5601 4.7474
7.2741 5.1758 2.4533
1.3023 2.6158 2.3488
0.0000 0.0000 0.0000
```

DFT (GGA-PBE) results for a relaxed Pm3HoSn2 crystal.

Computed properties:
**V**: 184 Å³ per cell
**Fermi-level density of states**: 7.2 states/eV/f.u.
**ΔE to the lowest computed polymorph**: 0.0000 eV/atom
**Energy of formation from the pure elements**: -0.58 eV/atom

Geometry as POSCAR:
```
Pm3HoSn2
1.0
-3.9800 -0.9759 2.1019
1.0303 -4.4869 -0.1322
3.9159 0.6715 7.7265
Pm Sn Ho
3 2 1
Cartesian
0.0000 0.0000 0.0000
-0.6244 -0.2537 3.7455
3.0654 -1.8061 4.9658
1.6012 -2.0572 2.0767
0.8399 -0.0026 6.6347
-1.4748 -2.7314 0.9849
```

DFT (GGA-PBE) results for a relaxed Pm2HoSn crystal.

Computed properties:
**V**: 117 Å³ per cell
**Fermi-level density of states**: 6.8 states/eV/f.u.
**ΔE to the lowest computed polymorph**: 0.1715 eV/atom
**Energy of formation from the pure elements**: -0.26 eV/atom

Geometry as POSCAR:
```
Pm2HoSn
1.0
-4.5746 -1.6644 -2.5498
-0.8080 -5.3461 -0.9823
-3.8524 -2.7543 2.7878
Sn Ho Pm
1 1 2
Cartesian
-4.6176 -4.8825 -0.3722
0.0000 0.0000 0.0000
-2.3088 -2.4412 -0.1861
-6.9263 -7.3237 -0.5583
```

DFT (GGA-PBE) results for a relaxed Pm5HoSn3 crystal.

Computed properties:
**V**: 529 Å³ per cell
**Fermi-level density of states**: 9.5 states/eV/f.u.
**Energy of formation from the pure elements**: -0.56 eV/atom

Geometry as POSCAR:
```
Pm5HoSn3
1.0
6.7011 0.0000 0.0000
0.0000 9.5465 0.0000
0.0000 -4.7732 8.2672
Ho Pm Sn
2 10 6
Cartesian
3.3506 0.0000 0.0000
0.0000 0.0000 0.0000
1.6753 -3.1905 5.5260
3.3506 4.7732 2.7557
5.0258 3.1905 5.5260
0.0000 4.7732 2.7557
1.6753 1.5827 2.7412
1.6753 6.3813 0.0000
0.0000 0.0000 5.5115
3.3506 0.0000 5.5115
5.0258 3.1652 0.0000
5.0258 7.9638 2.7412
1.6753 3.1845 5.5155
1.6753 7.9577 2.7517
5.0258 1.5888 2.7517
5.0258 6.3686 0.0000
5.0258 -3.1845 5.5155
1.6753 3.1779 0.0000
```

DFT (GGA-PBE) results for a relaxed Pm5HoSn2 crystal.

Computed properties:
**V**: 257 Å³ per cell
**Fermi-level density of states**: 11.0 states/eV/f.u.
**Energy of formation from the pure elements**: -0.27 eV/atom

Geometry as POSCAR:
```
Pm5HoSn2
1.0
4.5904 0.0000 0.0000
2.2952 7.4584 -0.7682
2.2952 1.5113 7.3439
Sn Ho Pm
2 1 5
Cartesian
6.8856 7.1552 5.2455
2.2952 1.8145 1.3302
0.0000 0.0000 0.0000
2.2952 4.4849 3.2879
4.5904 1.9625 3.7719
4.5904 7.0072 2.8039
4.5904 4.1875 0.7367
4.5904 4.7822 5.8390
```